Record 1
Crystalline SrTeMo at its relaxed geometry. Source: the Alexandria database, functional PBE.

## Properties
- polymorph energy (0 for the lowest one) (eV/f.u.) = 3.12
- formation energy without anion corrections (kJ per mole of atoms) = 82.3

Unit cell a=5.4491 b=5.4491 c=5.4491 alpha=60.00 beta=60.00 gamma=60.00
Last column: nearest neighbours and their distance in Å.
Sites, in units of the cell vectors:
Sr (0.0000, 0.0000, 0.0000)  4 Mo 3.34, 4 Te 3.34
Te (0.2500, 0.2500, 0.2500)  4 Sr 3.34
Mo (0.7500, 0.7500, 0.7500)  4 Sr 3.34

---

Record 2
Crystalline SrTeMo at its relaxed geometry. Source: the Alexandria database, functional PBE.

## Properties
- polymorph energy (0 for the lowest one) (eV/f.u.) = 1.36
- formation energy without anion corrections (kJ per mole of atoms) = 25.7

Unit cell a=3.7557 b=3.7557 c=6.7797 alpha=90.00 beta=90.00 gamma=120.00
Last column: nearest neighbours and their distance in Å.
Sites, in units of the cell vectors:
Sr (0.0000, 0.0000, 0.0000)  3 Mo 3.34, 3 Te 3.42
Te (0.6667, 0.3333, 0.3905)  3 Mo 2.69
Mo (0.3333, 0.6667, 0.6255)  3 Te 2.69

---

Record 3
Crystalline SrTe2Mo at its relaxed geometry. Source: the Alexandria database, functional PBE.

## Properties
- polymorph energy (0 for the lowest one) (eV/f.u.) = 1.11
- formation energy without anion corrections (kJ per mole of atoms) = -18.5

Unit cell a=3.5408 b=3.5408 c=7.8667 alpha=90.00 beta=90.00 gamma=90.00
Last column: nearest neighbours and their distance in Å.
Sites, in units of the cell vectors:
Sr (0.0000, 0.0000, 0.0000)  8 Te 3.41, 4 Sr 3.54
Te (0.5000, 0.5000, 0.2952)  4 Mo 2.98, 1 Te 3.22
Te (0.5000, 0.5000, 0.7048)  4 Mo 2.98, 1 Te 3.22
Mo (0.0000, 0.0000, 0.5000)  8 Te 2.98

---

Record 4
Crystalline SrTe2Mo2 at its relaxed geometry. Source: the Alexandria database, functional PBE.

## Properties
- formation energy without anion corrections (kJ per mole of atoms) = -13.4

Unit cell a=7.9814 b=7.9814 c=7.9814 alpha=150.38 beta=150.38 gamma=42.38
Last column: nearest neighbours and their distance in Å.
Sites, in units of the cell vectors:
Sr (0.0000, 0.0000, 0.0000)  8 Te 3.44
Te (0.3742, 0.3742, 0.0000)  4 Mo 2.75
Te (0.6258, 0.6258, 0.0000)  4 Mo 2.75
Mo (0.2500, 0.7500, 0.5000)  4 Te 2.75, 4 Mo 2.89
Mo (0.7500, 0.2500, 0.5000)  4 Te 2.75, 4 Mo 2.89

---

Record 5
Crystalline SrTe2Mo at its relaxed geometry. Source: the Alexandria database, functional PBE.

## Properties
- polymorph energy (0 for the lowest one) (eV/f.u.) = 2.51
- formation energy without anion corrections (kJ per mole of atoms) = 15.3

Unit cell a=10.5745 b=10.5745 c=10.5745 alpha=19.62 beta=19.62 gamma=19.62
Last column: nearest neighbours and their distance in Å.
Sites, in units of the cell vectors:
Sr (0.0000, 0.0000, 0.0000)  3 Te 3.32, 3 Mo 3.35, 6 Sr 3.60
Te (0.5272, 0.5272, 0.5272)  3 Mo 2.69
Te (0.7500, 0.7500, 0.7500)  3 Sr 3.32, 6 Te 3.60
Mo (0.2487, 0.2487, 0.2487)  3 Te 2.69

---

Record 6
Crystalline SrTeMo at its relaxed geometry. Source: the Alexandria database, functional PBE.

## Properties
- polymorph energy (0 for the lowest one) (eV/f.u.) = 0.68
- formation energy without anion corrections (kJ per mole of atoms) = 3.7

Unit cell a=6.4966 b=6.4966 c=6.4966 alpha=148.03 beta=148.03 gamma=45.84
Last column: nearest neighbours and their distance in Å.
Sites, in units of the cell vectors:
Sr (0.0000, 0.0000, 0.0000)  5 Mo 3.44-3.65, 5 Te 3.46-3.58, 4 Sr 3.58
Te (0.7112, 0.7112, 0.0000)  4 Mo 2.77
Mo (0.3054, 0.3054, 0.0000)  4 Te 2.77

---

Record 7
Crystalline SrTe2Mo at its relaxed geometry. Source: the Alexandria database, functional PBE.

## Properties
- polymorph energy (0 for the lowest one) (eV/f.u.) = 0.82
- formation energy without anion corrections (kJ per mole of atoms) = -25.5

Unit cell a=5.4737 b=5.4737 c=4.2655 alpha=90.00 beta=90.00 gamma=90.00
Last column: nearest neighbours and their distance in Å.
Sites, in units of the cell vectors:
Sr (0.0000, 0.0000, 0.0000)  8 Te 3.46-3.48
Te (0.0000, 0.5000, 0.5044)  2 Mo 2.84
Te (0.5000, 0.0000, 0.5044)  2 Mo 2.84
Mo (0.5000, 0.5000, 0.6808)  4 Te 2.84

---

Record 8
Crystalline SrTe2Mo at its relaxed geometry. Source: the Alexandria database, functional PBE.

## Properties
- polymorph energy (0 for the lowest one) (eV/f.u.) = 0.84
- formation energy without anion corrections (kJ per mole of atoms) = -25.0

Unit cell a=7.7188 b=7.7188 c=4.1356 alpha=90.05 beta=90.05 gamma=30.92
Last column: nearest neighbours and their distance in Å.
Sites, in units of the cell vectors:
Sr (0.0000, 0.0000, 0.0000)  6 Te 3.23-3.46
Te (0.3134, 0.3134, 0.0015)  4 Mo 2.97
Te (0.5929, 0.5929, 0.5003)  1 Mo 2.74
Mo (0.7772, 0.7772, 0.5015)  5 Te 2.74-2.97

---

Question: Among the records above, which one has the highest formation energy without anion corrections?
Answer: number 1